Entry from Alexandria: a geometry-optimized KBaCu2 structure (PBE-GGA).

Geometry as extended XYZ:
```
4
Lattice="6.423 0.241 0.000 2.816 5.778 0.000 -4.620 -3.009 3.305" Properties=species:S:1:pos:R:3 pbc="T T T"
K 4.620 3.009 0.000
Cu 0.000 0.000 0.000
Cu 1.408 2.889 1.652
Ba 3.212 0.120 1.652
```

Results
As for the formation energy: 35.85 kJ/mol of atoms. The relative energy among the computed polymorphs is 0.230 eV per atom. Its size of the total moment is 0.00 μB/f.u.



Entry from Alexandria: a geometry-optimized KBa2Cu structure (PBE-GGA).

Geometry as extended XYZ:
```
4
Lattice="7.576 0.028 0.000 3.925 6.480 0.000 -5.750 -3.254 3.706" Properties=species:S:1:pos:R:3 pbc="T T T"
Ba 1.963 3.240 1.853
K 3.788 0.014 1.853
Cu 5.750 3.254 0.000
Ba 0.000 0.000 0.000
```

Results
As for the formation energy: 34.51 kJ/mol of atoms. The relative energy among the computed polymorphs is 0.323 eV per atom. Its size of the total moment is 0.00 μB/f.u.



Entry from Alexandria: a geometry-optimized K2BaCu structure (PBE-GGA).

Geometry as extended XYZ:
```
4
Lattice="4.173 0.000 0.000 0.000 4.173 0.000 0.000 0.000 11.265" Properties=species:S:1:pos:R:3 pbc="T T T"
Cu 2.087 2.086 8.449
K 0.000 0.000 10.344
K 0.000 0.000 6.554
Ba 2.087 2.086 2.816
```

Results
As for the formation energy: 29.61 kJ/mol of atoms. Its size of the total moment is 0.00 μB/f.u.



Entry from Alexandria: a geometry-optimized KBaMg2Cu structure (PBE-GGA).

Geometry as extended XYZ:
```
5
Lattice="-4.536 -0.227 2.941 2.716 -2.425 4.002 1.252 5.261 2.338" Properties=species:S:1:pos:R:3 pbc="T T T"
Mg 1.358 -1.212 2.001
Mg -2.268 -0.114 1.470
Cu 0.000 0.000 0.000
K -0.284 1.305 4.640
Ba 0.626 2.631 1.169
```

Results
As for the formation energy: 11.55 kJ/mol of atoms. Its size of the total moment is 0.00 μB/f.u.



Entry from Alexandria: a geometry-optimized KBa2NaCu structure (PBE-GGA).

Geometry as extended XYZ:
```
5
Lattice="-5.846 2.481 0.365 -0.175 -1.328 6.218 2.420 5.519 1.247" Properties=species:S:1:pos:R:3 pbc="T T T"
K -1.800 3.336 3.915
Na 1.210 2.760 0.623
Ba -0.087 -0.664 3.109
Ba -2.923 1.240 0.183
Cu 0.000 0.000 0.000
```

Results
As for the formation energy: 8.79 kJ/mol of atoms. The relative energy among the computed polymorphs is 0.000 eV per atom. Its size of the total moment is 0.00 μB/f.u.



Entry from Alexandria: a geometry-optimized KBa2NaCu structure (PBE-GGA).

Geometry as extended XYZ:
```
5
Lattice="-1.022 5.443 -3.084 1.298 -2.872 -5.500 -6.263 -1.554 -0.666" Properties=species:S:1:pos:R:3 pbc="T T T"
Cu 0.000 0.000 0.000
K -3.131 -0.777 -0.333
Ba 0.649 -1.436 -2.750
Na -2.994 0.509 -4.625
Ba -0.511 2.722 -1.542
```

Results
As for the formation energy: 9.83 kJ/mol of atoms. The relative energy among the computed polymorphs is 0.011 eV per atom. Its size of the total moment is 0.00 μB/f.u.



- Which value of size of the total moment does entry 4 give?
  0.00 μB/f.u.



- Which value of size of the total moment does entry 4 give?
  0.00 μB/f.u.



- Look up the size of the total moment of the fifth one.
  0.00 μB/f.u.